The following is a DFT calculation (PBE) of a relaxed structure of V2HgPd4.

Results
ΔE_f: 808 meV per atom

POSCAR file:
```
V2HgPd4
1.0
5.031 0.000 0.000
0.000 5.031 0.000
2.515 2.515 6.076
Pd Hg V
4 1 2
Direct
0.222 0.222 0.556
0.778 0.778 0.444
0.000 0.500 0.000
0.500 0.000 0.000
0.000 0.000 0.000
0.583 0.583 0.834
0.417 0.417 0.166
```


The following is a DFT calculation (PBE) of a relaxed structure of CaZnSe2.

Results
uncorrected formation energy: -1.130 eV per atom

POSCAR file:
```
CaZnSe2
1.0
-4.825 2.632 5.555
-1.923 6.025 4.591
-5.498 5.232 1.861
Ca Se Zn
1 2 1
Direct
0.500 0.500 0.500
0.898 0.898 0.898
0.102 0.102 0.102
0.000 0.000 0.000
```


The following is a DFT calculation (PBE) of a relaxed structure of LaPm3Zn2.

Results
ΔE_f: -214 meV per atom

POSCAR file:
```
LaPm3Zn2
1.0
-0.069 1.295 3.439
-2.494 -2.543 0.907
9.208 -7.904 3.159
Pm La Zn
3 1 2
Direct
0.000 0.000 0.287
0.000 0.000 0.000
0.000 0.000 0.713
0.500 0.500 0.500
0.500 0.500 0.855
0.500 0.500 0.145
```


The following is a DFT calculation (PBE) of a relaxed structure of Rb2ScAl.

Results
ΔE_f: 653 meV per atom

POSCAR file:
```
Rb2ScAl
1.0
-11.015 1.362 7.573
-7.437 -5.278 -9.868
-8.826 -4.448 -0.117
Sc Rb Al
2 4 2
Direct
0.000 0.000 0.000
0.750 0.250 0.500
0.375 0.531 0.750
0.281 0.625 0.250
0.875 0.719 0.750
0.469 0.125 0.250
0.500 0.500 0.000
0.250 0.750 0.500
```


The following is a DFT calculation (PBE) of a relaxed structure of InFePb2.

Results
polymorph energy (0 for the lowest one): 0.237 eV/atom
ΔE_f: 511 meV per atom

POSCAR file:
```
InFePb2
1.0
-0.052 4.083 -0.266
-4.172 0.119 2.649
2.651 0.304 4.161
In Fe Pb
1 1 2
Direct
0.500 0.000 0.500
0.500 0.500 0.000
0.000 0.500 0.500
0.000 0.000 0.000
```


The following is a DFT calculation (PBE) of a relaxed structure of Nd4Sb2SeN2.

Results
uncorrected formation energy: -1.277 eV per atom

POSCAR file:
```
Nd4Sb2SeN2
1.0
4.212 0.000 0.000
0.000 8.588 -0.287
-2.106 -3.623 7.190
N Nd Se Sb
2 4 1 2
Direct
0.323 0.012 0.646
0.677 0.988 0.354
0.476 0.223 0.951
0.524 0.777 0.049
0.774 0.862 0.548
0.226 0.138 0.452
0.000 0.000 0.000
0.101 0.555 0.201
0.899 0.445 0.799
```


The following is a DFT calculation (PBE) of a relaxed structure of Pr4DyHo15.

Results
ΔE_f: 22 meV per atom

POSCAR file:
```
Pr4DyHo15
1.0
-1.724 -2.287 4.154
-2.722 -3.142 -2.860
19.323 -16.012 -0.797
Ho Pr Dy
15 4 1
Direct
0.500 0.500 0.400
0.500 0.000 0.098
0.500 0.000 0.299
0.500 0.000 0.500
0.000 0.500 0.701
0.500 0.000 0.701
0.500 0.500 0.600
0.500 0.000 0.902
0.500 0.500 0.000
0.500 0.500 0.801
0.000 0.500 0.500
0.000 0.500 0.299
0.500 0.500 0.199
0.000 0.500 0.098
0.000 0.500 0.902
0.000 0.000 0.600
0.000 0.000 0.400
0.000 0.000 0.199
0.000 0.000 0.801
0.000 0.000 0.000
```


The following is a DFT calculation (PBE) of a relaxed structure of NaLi2HfO4.

Results
uncorrected formation energy: -2.163 eV per atom

POSCAR file:
```
NaLi2HfO4
1.0
-4.597 -1.216 2.462
-3.262 -3.379 -1.937
-0.582 -4.326 2.600
O Na Li Hf
4 1 2 1
Direct
0.061 0.939 0.376
0.624 0.376 0.939
0.939 0.624 0.061
0.376 0.061 0.624
0.500 0.500 0.500
0.750 0.750 0.750
0.250 0.250 0.250
0.000 0.000 0.000
```


Number 1: D(E_F) 5.1 states/eV per cell. Number 2: D(E_F) 0.0 states/eV per cell. Number 3: D(E_F) 6.8 states/eV per cell. Number 4: D(E_F) 9.2 states/eV per cell. Number 5: D(E_F) 4.8 states/eV per cell. Number 6: D(E_F) 1.2 states/eV per cell. Number 7: D(E_F) 26.6 states/eV per cell. Number 8: D(E_F) 6.1 states/eV per cell.